Entry 1:
Compound: Cd2TePOs
Source: the Alexandria database
Functional: PBE-GGA
Structure: relaxed

a b c (Å): 5.4564 5.4564 4.8693
angles (deg): 90.00 90.00 90.00
Closest atoms and distances in Å follow each position.
Space group P4/mmm (No. 123)
Asymmetric unit:
Cd (0.0000, 0.5000, 0.0000) (multiplicity 2)  2 Te 2.73
Te (0.0000, 0.0000, 0.0000) (multiplicity 1)  2 Os 2.43
P (0.5000, 0.5000, 0.5000) (multiplicity 1)  8 Cd 3.66, 4 Os 3.86
Os (0.0000, 0.0000, 0.5000) (multiplicity 1)  2 Te 2.43

* energy relative to the elements, uncorrected: 7.9 eV per formula unit

Entry 2:
Compound: Zn2CdPOs
Source: the Alexandria database
Functional: PBE-GGA
Structure: relaxed

a b c (Å): 4.7307 4.7307 5.1184
angles (deg): 90.00 90.00 90.00
Closest atoms and distances in Å follow each position.
Space group P4/mmm (No. 123)
Asymmetric unit:
Zn (0.0000, 0.5000, 0.0000) (multiplicity 2)  2 Cd 2.37
Cd (0.0000, 0.0000, 0.0000) (multiplicity 1)  4 Zn 2.37, 2 Os 2.56
P (0.5000, 0.5000, 0.5000) (multiplicity 1)  4 Os 3.35, 8 Zn 3.48
Os (0.0000, 0.0000, 0.5000) (multiplicity 1)  2 Cd 2.56

* formation energy from the elements: 1704.0 meV per atom